NaReTe2: relaxed, PBEsol.

```
NaReTe2
1.0
1.555 0.898 10.614
-1.555 0.898 10.614
0.000 -1.796 10.614
Na Re Te
1 1 2
Direct
0.000 0.000 0.000 Na
0.500 0.500 0.500 Re
0.418 0.418 0.418 Te
0.582 0.582 0.582 Te
```

* ΔE to the lowest computed polymorph: 389 meV/atom
* symmetry: R-3m, No. 166
* DOS at the Fermi energy: 3.4 states/eV per cell